(1)
Crystalline ZrAl2Au at its relaxed geometry. Source: the Alexandria database, functional GGA-PBEsol.

Calculated values
- total moment (μB per atom) = 0.000
- formation energy (meV/atom) = -343.2

Cell: 2.9430 5.0936 9.5156 Å, 90.00 90.00 90.00°
Space group Immm (No. 71)
Unique sites:
Zr1 0.0000 0.0000 0.0000 [2 per cell]
Al1 0.0000 0.5000 0.2312 [4 per cell]
Au1 0.0000 0.0000 0.5000 [2 per cell]


(2)
Crystalline Tl2Zn2Sb at its relaxed geometry. Source: the Alexandria database, functional GGA-PBEsol.

Calculated values
- total moment (μB per atom) = 0.000
- formation energy (no corrections) (meV per atom) = 83

Cell: 7.0755 7.0755 4.7099 Å, 90.00 90.00 90.00°
Space group P4/mbm (No. 127)
Unique sites:
Tl1 0.1775 0.3225 0.0000 [4 per cell]
Zn1 0.1247 0.6247 0.5000 [4 per cell]
Sb1 0.0000 0.0000 0.5000 [2 per cell]


(3)
Crystalline La3BeCrS7 at its relaxed geometry. Source: the Alexandria database, functional GGA-PBEsol.

Calculated values
- total moment (μB per atom) = 0.250
- formation energy (no corrections) (meV per atom) = -1694

Cell: 10.1696 10.1696 5.9755 Å, 90.00 90.00 120.00°
Space group P6_3 (No. 173)
Unique sites:
La1 0.1367 0.3893 0.0000 [6 per cell]
Be1 0.3333 0.6667 0.4134 [2 per cell]
Cr1 0.0000 0.0000 0.2697 [2 per cell]
S1 0.0746 0.2158 0.5196 [6 per cell]
S2 0.1127 0.5940 0.2841 [6 per cell]
S3 0.3333 0.6667 0.7649 [2 per cell]


(4)
Crystalline ScCr4P at its relaxed geometry. Source: the Alexandria database, functional GGA-PBEsol.

Calculated values
- total moment (μB per atom) = 0.000
- formation energy (meV/atom) = 144.4

Cell: 6.7350 6.7350 6.7350 Å, 90.00 90.00 90.00°
Space group F-43m (No. 216)
Unique sites:
Sc1 0.0000 0.0000 0.0000 [4 per cell]
Cr1 0.1234 0.1234 0.6234 [16 per cell]
P1 0.2500 0.2500 0.2500 [4 per cell]


What did the fourth record say?
Crystalline ScCr4P at its relaxed geometry. Source: the Alexandria database, functional GGA-PBEsol.

Calculated values
- total moment (μB per atom) = 0.000
- formation energy (meV/atom) = 144.4

Cell: 6.7350 6.7350 6.7350 Å, 90.00 90.00 90.00°
Space group F-43m (No. 216)
Unique sites:
Sc1 0.0000 0.0000 0.0000 [4 per cell]
Cr1 0.1234 0.1234 0.6234 [16 per cell]
P1 0.2500 0.2500 0.2500 [4 per cell]


Q: total moment of number 2 (Tl2Zn2Sb)?
A: 0.000 μB per atom


Repeat the fourth record exactly.
Crystalline ScCr4P at its relaxed geometry. Source: the Alexandria database, functional GGA-PBEsol.

Calculated values
- total moment (μB per atom) = 0.000
- formation energy (meV/atom) = 144.4

Cell: 6.7350 6.7350 6.7350 Å, 90.00 90.00 90.00°
Space group F-43m (No. 216)
Unique sites:
Sc1 0.0000 0.0000 0.0000 [4 per cell]
Cr1 0.1234 0.1234 0.6234 [16 per cell]
P1 0.2500 0.2500 0.2500 [4 per cell]


Q: Look up the total moment of the first one.
A: 0.000 μB per atom